1.
# ZrTaSb2I

A geometry-optimized ZrTaSb2I structure (PBE, Alexandria).

Cell and atoms, written as POSCAR:
```
ZrTaSb2I
1.0
5.350 0.000 0.000
0.000 5.350 0.000
0.000 0.000 5.486
Zr Ta Sb I
1 1 2 1
direct
0.000 0.000 0.000 Zr
0.500 0.500 0.500 Ta
0.000 0.500 0.500 Sb
0.500 0.000 0.500 Sb
0.500 0.500 0.000 I
```

Results
For the density, the calculation gives 6.80 g cm⁻³. The value obtained for the uncorrected formation energy is 0.81 eV per atom. Its excess energy over the best structure of this formula in the dataset is 0.0 meV per atom. For the energy, the calculation gives -26.2 eV per formula unit. The volume is 157.0 Å³/f.u.

2.
# Tb3SbI7

A geometry-optimized Tb3SbI7 structure (PBE, Alexandria).

Cell and atoms, written as POSCAR:
```
Tb3SbI7
1.0
8.963 0.000 0.000
-4.482 7.762 0.000
0.000 0.000 7.121
Tb Sb I
3 1 7
direct
0.005 0.503 0.000 Tb
0.497 0.503 0.000 Tb
0.497 0.995 0.000 Tb
0.333 0.667 0.769 Sb
0.174 0.349 0.252 I
0.174 0.826 0.252 I
0.342 0.171 0.770 I
0.651 0.826 0.252 I
0.667 0.333 0.258 I
0.829 0.171 0.770 I
0.829 0.658 0.770 I
```

Results
For the density, the calculation gives 4.98 g cm⁻³. The value obtained for the uncorrected formation energy is -1.17 eV per atom. For the energy, the calculation gives -41.8 eV per formula unit. The volume is 495.5 Å³/f.u.

3.
# Tb7SbI12

A geometry-optimized Tb7SbI12 structure (PBE, Alexandria).

Cell and atoms, written as POSCAR:
```
Tb7SbI12
1.0
7.968 4.600 3.475
-7.968 4.600 3.475
0.000 -9.201 3.475
Tb Sb I
7 1 12
direct
0.000 0.000 0.000 Tb
0.176 0.463 0.391 Tb
0.391 0.176 0.463 Tb
0.463 0.391 0.176 Tb
0.537 0.609 0.824 Tb
0.609 0.824 0.537 Tb
0.824 0.537 0.609 Tb
0.500 0.500 0.500 Sb
0.030 0.110 0.343 I
0.110 0.343 0.030 I
0.188 0.579 0.729 I
0.271 0.812 0.421 I
0.343 0.030 0.110 I
0.421 0.271 0.812 I
0.579 0.729 0.188 I
0.657 0.970 0.890 I
0.729 0.188 0.579 I
0.812 0.421 0.271 I
0.890 0.657 0.970 I
0.970 0.890 0.657 I
```

Results
For the density, the calculation gives 5.99 g cm⁻³. The value obtained for the uncorrected formation energy is -1.23 eV per atom. For the energy, the calculation gives -79.7 eV per formula unit. The volume is 764.3 Å³/f.u.

4.
# Tb2SbI2

A geometry-optimized Tb2SbI2 structure (PBE, Alexandria).

Cell and atoms, written as POSCAR:
```
Tb2SbI2
1.0
4.354 0.000 0.000
-2.177 3.771 0.000
0.000 0.000 33.772
Tb Sb I
6 3 6
direct
0.000 0.000 0.116 Tb
0.000 0.000 0.884 Tb
0.333 0.667 0.550 Tb
0.333 0.667 0.783 Tb
0.667 0.333 0.217 Tb
0.667 0.333 0.450 Tb
0.000 0.000 0.500 Sb
0.333 0.667 0.167 Sb
0.667 0.333 0.833 Sb
0.000 0.000 0.275 I
0.000 0.000 0.725 I
0.333 0.667 0.392 I
0.333 0.667 0.941 I
0.667 0.333 0.059 I
0.667 0.333 0.608 I
```

Results
For the density, the calculation gives 6.23 g cm⁻³. The value obtained for the uncorrected formation energy is -1.28 eV per atom. For the energy, the calculation gives -22.9 eV per formula unit. The volume is 184.8 Å³/f.u.

5.
# Tb6Sb5I

A geometry-optimized Tb6Sb5I structure (PBE, Alexandria).

Cell and atoms, written as POSCAR:
```
Tb6Sb5I
1.0
3.824 -6.620 0.000
3.824 6.620 0.000
-2.531 0.000 7.196
Tb Sb I
6 5 1
direct
0.061 0.412 0.738 Tb
0.234 0.234 0.255 Tb
0.412 0.061 0.738 Tb
0.588 0.939 0.262 Tb
0.766 0.766 0.745 Tb
0.939 0.588 0.262 Tb
0.000 0.000 0.500 Sb
0.168 0.832 0.000 Sb
0.341 0.659 0.500 Sb
0.659 0.341 0.500 Sb
0.832 0.168 0.000 Sb
0.500 0.500 0.000 I
```

Results
For the density, the calculation gives 7.70 g cm⁻³. The value obtained for the uncorrected formation energy is -1.12 eV per atom. For the energy, the calculation gives -63.4 eV per formula unit. The volume is 364.3 Å³/f.u.

6.
# TcSb3I

A geometry-optimized TcSb3I structure (PBE, Alexandria).

Cell and atoms, written as POSCAR:
```
TcSb3I
1.0
5.233 0.000 0.000
0.000 5.233 0.000
0.000 0.000 5.233
Tc Sb I
1 3 1
direct
0.000 0.000 0.000 Tc
0.000 0.000 0.500 Sb
0.000 0.500 0.000 Sb
0.500 0.000 0.000 Sb
0.500 0.500 0.500 I
```

Results
For the density, the calculation gives 6.84 g cm⁻³. The value obtained for the uncorrected formation energy is 0.33 eV per atom. Its excess energy over the best structure of this formula in the dataset is 0.0 meV per atom. For the energy, the calculation gives -22.6 eV per formula unit. The volume is 143.3 Å³/f.u.

7.
# Tc3SbI

A geometry-optimized Tc3SbI structure (PBE, Alexandria).

Cell and atoms, written as POSCAR:
```
Tc3SbI
1.0
5.058 0.000 0.000
0.000 5.058 0.000
0.000 0.000 5.058
Tc Sb I
3 1 1
direct
0.000 0.000 0.500 Tc
0.000 0.500 0.000 Tc
0.500 0.000 0.000 Tc
0.000 0.000 0.000 Sb
0.500 0.500 0.500 I
```

Results
For the density, the calculation gives 6.96 g cm⁻³. The value obtained for the uncorrected formation energy is 1.88 eV per atom. Its excess energy over the best structure of this formula in the dataset is 0.0 meV per atom. For the energy, the calculation gives -27.3 eV per formula unit. The volume is 129.4 Å³/f.u.

8.
# TcSb3I

A geometry-optimized TcSb3I structure (PBE, Alexandria).

Cell and atoms, written as POSCAR:
```
TcSb3I
1.0
5.696 0.000 0.000
0.000 5.696 0.000
0.000 0.000 5.696
Tc Sb I
1 3 1
direct
0.000 0.000 0.000 Tc
0.000 0.500 0.500 Sb
0.500 0.000 0.500 Sb
0.500 0.500 0.000 Sb
0.500 0.500 0.500 I
```

Results
For the density, the calculation gives 5.30 g cm⁻³. The value obtained for the uncorrected formation energy is 1.83 eV per atom. Its excess energy over the best structure of this formula in the dataset is 1499.7 meV per atom. For the energy, the calculation gives -15.1 eV per formula unit. The volume is 184.8 Å³/f.u.

9.
# TcSbI

A geometry-optimized TcSbI structure (PBE, Alexandria).

Cell and atoms, written as POSCAR:
```
TcSbI
1.0
3.428 0.000 0.000
0.000 6.848 0.000
0.015 1.844 7.342
Tc Sb I
2 2 2
direct
0.000 0.189 0.001 Tc
0.000 0.811 0.999 Tc
0.499 0.936 0.238 Sb
0.501 0.064 0.762 Sb
0.001 0.564 0.761 I
0.999 0.436 0.239 I
```

Results
For the density, the calculation gives 6.68 g cm⁻³. The value obtained for the uncorrected formation energy is 0.14 eV per atom. For the energy, the calculation gives -15.6 eV per formula unit. The volume is 86.2 Å³/f.u.

10.
# TcSb2TeI

A geometry-optimized TcSb2TeI structure (PBE, Alexandria).

Cell and atoms, written as POSCAR:
```
TcSb2TeI
1.0
5.154 0.000 0.000
0.000 5.154 0.000
0.000 0.000 5.494
Tc Sb Te I
1 2 1 1
direct
0.000 0.000 0.000 Tc
0.000 0.500 0.000 Sb
0.500 0.000 0.000 Sb
0.500 0.500 0.500 Te
0.000 0.000 0.500 I
```

Results
For the density, the calculation gives 6.78 g cm⁻³. The value obtained for the uncorrected formation energy is 0.46 eV per atom. Its excess energy over the best structure of this formula in the dataset is 108.6 meV per atom. For the energy, the calculation gives -21.0 eV per formula unit. The volume is 146.0 Å³/f.u.